Compound: TbHoTm2Sc5
Source: Alexandria
Functional: GGA-PBE
Structure: optimized geometry

Calculated values
Symmetry: No. 36
Calculated total energy (eV/atom): -5.364
Volume (Å³ per cell): 503.3
N(E_F) (states/eV/atom): 1.801

Lattice parameters (Å, degrees): 5.309 9.620 10.253 90.00 90.00 106.02
Sites, in units of the cell vectors:
Sc (0.714, 0.428, 0.800)
Sc (0.522, 0.045, 0.234)
Sc (0.021, 0.042, 0.032)
Sc (0.399, 0.798, 0.023)
Sc (0.478, 0.955, 0.734)
Sc (0.979, 0.958, 0.532)
Sc (0.286, 0.572, 0.300)
Sc (0.299, 0.598, 0.710)
Sc (0.601, 0.202, 0.523)
Sc (0.701, 0.402, 0.210)
Tm (0.893, 0.785, 0.233)
Tm (0.887, 0.774, 0.824)
Tm (0.113, 0.226, 0.324)
Tm (0.107, 0.215, 0.733)
Ho (0.418, 0.835, 0.458)
Ho (0.582, 0.165, 0.958)
Tb (0.208, 0.416, 0.010)
Tb (0.792, 0.584, 0.510)

Compound: TbHoTm4Sc2
Source: Alexandria
Functional: GGA-PBE
Structure: optimized geometry

Calculated values
Symmetry: No. 15
Calculated total energy (eV/atom): -4.514
Volume (Å³ per cell): 485.9
N(E_F) (states/eV/atom): 2.145

Lattice parameters (Å, degrees): 9.222 9.222 11.410 128.21 128.21 88.77
Last column: magnetic moment on the atom in μB.
Sites, in units of the cell vectors:
Tm (0.245, 0.766, 0.506)  0.33
Tm (0.742, 0.759, 0.012)  0.33
Tm (0.266, 0.745, 0.006)  0.33
Tm (0.734, 0.255, 0.994)  0.33
Tm (0.741, 0.758, 0.488)  0.33
Tm (0.259, 0.242, 0.512)  0.33
Tm (0.755, 0.234, 0.494)  0.33
Tm (0.258, 0.241, 0.988)  0.33
Tb (0.500, 0.500, 0.500)  0.29
Tb (0.000, 0.000, 0.000)  0.29
Sc (0.000, 0.000, 0.500)  0.37
Sc (0.500, 0.500, 0.000)  0.37
Sc (0.500, 0.000, 0.000)  0.38
Sc (0.500, 0.000, 0.500)  0.38
Ho (0.000, 0.500, 0.000)  0.33
Ho (0.000, 0.500, 0.500)  0.33

Compound: TbHo6TmSc2
Source: Alexandria
Functional: GGA-PBE
Structure: optimized geometry

Calculated values
Symmetry: No. 15
Calculated total energy (eV/atom): -4.798
Volume (Å³ per cell): 603.0
N(E_F) (states/eV/atom): 1.623

Lattice parameters (Å, degrees): 9.293 8.577 8.577 117.37 93.44 93.44
Sites, in units of the cell vectors:
Sc (0.952, 0.695, 0.802)
Sc (0.048, 0.305, 0.198)
Sc (0.452, 0.802, 0.695)
Sc (0.548, 0.198, 0.305)
Ho (0.554, 0.758, 0.120)
Ho (0.884, 0.296, 0.507)
Ho (0.819, 0.440, 0.984)
Ho (0.116, 0.704, 0.493)
Ho (0.946, 0.880, 0.242)
Ho (0.319, 0.984, 0.440)
Ho (0.181, 0.560, 0.016)
Ho (0.446, 0.242, 0.880)
Ho (0.054, 0.120, 0.758)
Ho (0.681, 0.016, 0.560)
Ho (0.616, 0.493, 0.704)
Ho (0.384, 0.507, 0.296)
Tb (0.750, 0.027, 0.973)
Tb (0.250, 0.973, 0.027)
Tm (0.250, 0.409, 0.591)
Tm (0.750, 0.591, 0.409)

Compound: Tb2HoTmSc4
Source: Alexandria
Functional: GGA-PBE
Structure: optimized geometry

Calculated values
Symmetry: No. 123
Calculated total energy (eV/atom): -5.403
Volume (Å³ per cell): 221.3
N(E_F) (states/eV/atom): 1.729

Lattice parameters (Å, degrees): 4.872 4.871 10.518 62.43 90.00 90.00
Sites, in units of the cell vectors:
Sc (0.000, 0.750, 0.750)
Sc (0.500, 0.251, 0.749)
Sc (0.500, 0.749, 0.251)
Sc (0.000, 0.250, 0.250)
Tb (0.000, 0.000, 0.000)
Tb (0.500, 0.000, 0.500)
Tm (0.000, 0.500, 0.500)
Ho (0.500, 0.500, 0.000)

Compound: TbHo2TmSc2
Source: Alexandria
Functional: GGA-PBE
Structure: optimized geometry

Calculated values
Symmetry: No. 58
Calculated total energy (eV/atom): -5.080
Volume (Å³ per cell): 345.4
N(E_F) (states/eV/atom): 1.970

Lattice parameters (Å, degrees): 5.422 9.362 6.804 90.00 90.00 90.00
Sites, in units of the cell vectors:
Sc (0.000, 0.333, 0.750)
Sc (0.500, 0.167, 0.250)
Sc (0.000, 0.667, 0.250)
Sc (0.500, 0.833, 0.750)
Ho (0.000, 0.334, 0.251)
Ho (0.500, 0.834, 0.249)
Ho (0.500, 0.166, 0.751)
Ho (0.000, 0.666, 0.749)
Tm (0.000, 0.000, 0.000)
Tm (0.500, 0.500, 0.500)
Tb (0.500, 0.500, 0.000)
Tb (0.000, 0.000, 0.500)

Compound: TbHo6Tm3Sc2
Source: Alexandria
Functional: GGA-PBE
Structure: optimized geometry

Calculated values
Symmetry: No. 12
Calculated total energy (eV/atom): -4.811
Volume (Å³ per cell): 355.6
N(E_F) (states/eV/atom): 1.465

Lattice parameters (Å, degrees): 6.020 6.020 11.502 95.00 95.00 119.94
Sites, in units of the cell vectors:
Ho (0.582, 0.917, 0.754)
Ho (0.253, 0.253, 0.754)
Ho (0.747, 0.747, 0.246)
Ho (0.083, 0.418, 0.246)
Ho (0.917, 0.582, 0.754)
Ho (0.418, 0.083, 0.246)
Tm (0.500, 0.500, 0.500)
Tm (0.167, 0.833, 0.500)
Tm (0.833, 0.167, 0.500)
Tb (0.000, 0.000, 0.000)
Sc (0.667, 0.333, 0.000)
Sc (0.333, 0.667, 0.000)

| no. | total moment (μB per atom) |
| --- | --- |
| 1 | 0.000 |
| 2 | 0.433 |
| 3 | 0.000 |
| 4 | 0.000 |
| 5 | 0.000 |
| 6 | 0.000 |